Entry from Alexandria: an optimized crystal structure of MnOsRh2 (PBE).

Calculated values
For the offset from the most stable computed form, the calculation gives 584 meV/atom. The spin magnetization is 0.0 Bohr magnetons per cell.

abc: 6.0527 6.0527 6.0527
angles: 90.00 90.00 90.00
With the nearest neighbours (Å) after each atom.
Space group Fm-3m (No. 225)
Asymmetric unit:
Mn (0.0000, 0.0000, 0.0000) x4  8 Rh 2.62
Os (0.0000, 0.0000, 0.5000) x4  8 Rh 2.62
Rh (0.2500, 0.2500, 0.2500) x8  4 Mn 2.62, 4 Os 2.62